No. 1
La2PrCd3PdAu2 | PBE | optimized geometry

Unit cell a=4.070 b=7.964 c=7.964 alpha=119.89 beta=90.00 gamma=90.00
Fractional positions:
La: 0.000 0.201 0.799
La: 0.000 0.799 0.201
Pr: 0.000 0.602 0.602
Cd: 0.500 0.203 0.449
Cd: 0.500 0.449 0.203
Cd: 0.500 0.949 0.949
Pd: 0.000 0.198 0.198
Au: 0.500 0.534 0.867
Au: 0.500 0.867 0.534

Computed properties:
energy relative to the elements: -683 meV per atom
symmetry: No. 38


No. 2
La2PrCd3Pd2Au | PBE | optimized geometry

Unit cell a=4.147 b=7.828 c=7.828 alpha=120.36 beta=90.00 gamma=90.00
Fractional positions:
La: 0.000 0.205 0.795
La: 0.000 0.795 0.205
Pr: 0.000 0.613 0.613
Cd: 0.500 0.208 0.461
Cd: 0.500 0.461 0.208
Cd: 0.500 0.946 0.946
Pd: 0.500 0.538 0.874
Pd: 0.500 0.874 0.538
Au: 0.000 0.204 0.204

Computed properties:
energy relative to the elements: -687 meV per atom
symmetry: No. 38


No. 3
LaPr2Cd3Pd2Au | PBE | optimized geometry

Unit cell a=4.124 b=7.795 c=7.795 alpha=119.62 beta=90.00 gamma=90.00
Fractional positions:
La: 0.000 0.000 0.000
Pr: 0.000 0.410 0.818
Pr: 0.000 0.818 0.410
Cd: 0.500 0.152 0.413
Cd: 0.500 0.413 0.152
Cd: 0.500 0.665 0.665
Pd: 0.500 0.076 0.746
Pd: 0.500 0.746 0.076
Au: 0.000 0.408 0.408

Computed properties:
energy relative to the elements: -675 meV per atom
symmetry: No. 38


No. 4
La2PrCd3Pt2Au | PBE | optimized geometry

Unit cell a=4.081 b=7.863 c=7.863 alpha=120.28 beta=90.00 gamma=90.00
Fractional positions:
La: 0.000 0.206 0.794
La: 0.000 0.794 0.206
Pr: 0.000 0.384 0.384
Cd: 0.500 0.051 0.051
Cd: 0.500 0.539 0.791
Cd: 0.500 0.791 0.539
Pt: 0.500 0.124 0.461
Pt: 0.500 0.461 0.124
Au: 0.000 0.793 0.793

Computed properties:
energy relative to the elements: -819 meV per atom
symmetry: No. 38


No. 5
LaPr2Cd3Pt2Au | PBE | optimized geometry

Unit cell a=4.070 b=7.830 c=7.830 alpha=119.76 beta=90.00 gamma=90.00
Fractional positions:
La: 0.000 0.000 0.000
Pr: 0.000 0.176 0.587
Pr: 0.000 0.587 0.176
Cd: 0.500 0.333 0.333
Cd: 0.500 0.585 0.843
Cd: 0.500 0.843 0.585
Pt: 0.500 0.251 0.921
Pt: 0.500 0.921 0.251
Au: 0.000 0.587 0.587

Computed properties:
energy relative to the elements: -803 meV per atom
symmetry: No. 38


No. 6
La2PrCd2Si4Au2 | PBE | optimized geometry

Unit cell a=13.406 b=13.406 c=13.406 alpha=161.36 beta=161.28 gamma=26.53
Fractional positions:
La: 0.141 0.141 0.000
La: 0.859 0.859 0.000
Pr: 0.500 0.000 0.500
Cd: 0.250 0.750 0.500
Cd: 0.750 0.250 0.500
Si: 0.046 0.546 0.500
Si: 0.315 0.315 0.000
Si: 0.685 0.685 0.000
Si: 0.954 0.454 0.500
Au: 0.409 0.409 0.000
Au: 0.591 0.591 0.000

Computed properties:
VASP energy: -4.6999 eV/atom
symmetry: No. 71


No. 7
LaCdSiAu2 | PBE | optimized geometry

Unit cell a=6.798 b=6.798 c=6.798 alpha=143.33 beta=143.33 gamma=52.84
Fractional positions:
La: 0.000 0.000 0.000
Cd: 0.750 0.250 0.500
Si: 0.250 0.750 0.500
Au: 0.388 0.388 0.000
Au: 0.612 0.612 0.000

Computed properties:
VASP energy: -4.0144 eV/atom
symmetry: No. 119


No. 8
La2SmCd2Si4Au2 | PBE | optimized geometry

Unit cell a=13.363 b=13.363 c=13.363 alpha=161.44 beta=161.24 gamma=26.51
Fractional positions:
La: 0.141 0.141 0.000
La: 0.859 0.859 0.000
Sm: 0.500 0.000 0.500
Cd: 0.250 0.750 0.500
Cd: 0.750 0.250 0.500
Si: 0.045 0.545 0.500
Si: 0.316 0.316 0.000
Si: 0.684 0.684 0.000
Si: 0.955 0.455 0.500
Au: 0.410 0.410 0.000
Au: 0.590 0.590 0.000

Computed properties:
VASP energy: -4.6916 eV/atom
symmetry: No. 71


No. 9
LaSmCd2Au4 | PBE | optimized geometry

Unit cell a=5.054 b=5.054 c=7.149 alpha=90.00 beta=90.00 gamma=90.00
Fractional positions:
La: 0.000 0.000 0.000
Sm: 0.500 0.500 0.500
Cd: 0.000 0.000 0.500
Cd: 0.500 0.500 0.000
Au: 0.000 0.500 0.258
Au: 0.000 0.500 0.742
Au: 0.500 0.000 0.258
Au: 0.500 0.000 0.742

Computed properties:
energy relative to the elements: -667 meV per atom
symmetry: No. 123


No. 10
La2CdSnAu4 | PBE | optimized geometry

Unit cell a=4.880 b=4.880 c=9.413 alpha=90.00 beta=90.00 gamma=120.00
Fractional positions:
La: 0.333 0.667 0.246
La: 0.667 0.333 0.754
Cd: 0.000 0.000 0.500
Sn: 0.000 0.000 0.000
Au: 0.333 0.667 0.582
Au: 0.333 0.667 0.895
Au: 0.667 0.333 0.105
Au: 0.667 0.333 0.418

Computed properties:
VASP energy: -4.1930 eV/atom
symmetry: No. 164


No. 11
SrLaCd2Au4 | PBE | optimized geometry

Unit cell a=5.142 b=5.142 c=7.182 alpha=90.00 beta=90.00 gamma=90.00
Fractional positions:
Sr: 0.000 0.000 0.000
La: 0.500 0.500 0.500
Cd: 0.000 0.000 0.500
Cd: 0.500 0.500 0.000
Au: 0.000 0.500 0.255
Au: 0.000 0.500 0.745
Au: 0.500 0.000 0.255
Au: 0.500 0.000 0.745

Computed properties:
VASP energy: -3.2820 eV/atom
symmetry: No. 123


No. 12
LaYCd2Au4 | PBE | optimized geometry

Unit cell a=5.031 b=5.031 c=7.077 alpha=90.00 beta=90.00 gamma=90.00
Fractional positions:
La: 0.000 0.000 0.000
Y: 0.500 0.500 0.500
Cd: 0.000 0.000 0.500
Cd: 0.500 0.500 0.000
Au: 0.000 0.500 0.264
Au: 0.000 0.500 0.736
Au: 0.500 0.000 0.264
Au: 0.500 0.000 0.736

Computed properties:
energy relative to the elements: -670 meV per atom
symmetry: No. 123